1.
{"formula": "CsK2NaZn", "functional": "GGA-PBE", "state": "optimized geometry", "density_g_cm3": 1.535, "total_energy_ev_per_atom": -0.975, "de_polymorph_mev_per_atom": 46, "delta_e_f_ev_per_atom": 0.153, "cell": [[-3.8238, -1.3589, -5.3683], [5.2684, -2.9022, -3.0180], [-1.8139, -6.2930, 2.8850]], "species": ["K", "K", "Cs", "Zn", "Na"], "frac_coords": [[0.0000, 0.5000, 0.0000], [0.5000, 0.0000, 0.0000], [0.0000, 0.0000, 0.5000], [0.0000, 0.0000, 0.0000], [0.5000, 0.5000, 0.5000]]}

2.
{"formula": "Rb2Na5TlHg2", "functional": "GGA-PBE", "state": "optimized geometry", "density_g_cm3": 3.975, "total_energy_ev_per_atom": -1.265, "delta_e_f_ev_per_atom": -0.115, "cell": [[-4.2415, -1.2855, -1.6296], [3.7547, -11.9799, -0.3219], [-4.0467, -1.5849, 11.7826]], "species": ["Na", "Na", "Na", "Na", "Na", "Na", "Na", "Na", "Na", "Na", "Tl", "Tl", "Rb", "Rb", "Rb", "Rb", "Hg", "Hg", "Hg", "Hg"], "frac_coords": [[0.5000, 0.0631, 0.8023], [0.5000, 0.3023, 0.5631], [0.5000, 0.4369, 0.3023], [0.5000, 0.9369, 0.1977], [0.5000, 0.5631, 0.6977], [0.5000, 0.1977, 0.0631], [0.5000, 0.8023, 0.9369], [0.5000, 0.5000, 0.0000], [0.5000, 0.6977, 0.4369], [0.5000, 0.0000, 0.5000], [0.0000, 0.0000, 0.0000], [0.0000, 0.5000, 0.5000], [0.0000, 0.1753, 0.3247], [0.0000, 0.3247, 0.8247], [0.0000, 0.8247, 0.6753], [0.0000, 0.6753, 0.1753], [0.0000, 0.8791, 0.3791], [0.0000, 0.3791, 0.1209], [0.0000, 0.6209, 0.8791], [0.0000, 0.1209, 0.6209]]}

3.
{"formula": "DyHfAlTc", "functional": "GGA-PBE", "state": "optimized geometry", "density_g_cm3": 9.789, "total_energy_ev_per_atom": -7.406, "delta_e_f_ev_per_atom": -0.240, "cell": [[4.8172, 0.0000, 0.0000], [2.4086, 4.1718, 0.0000], [2.4086, 1.3906, 3.9332]], "species": ["Tc", "Dy", "Hf", "Al"], "frac_coords": [[0.2500, 0.2500, 0.2500], [0.0000, 0.0000, 0.0000], [0.5000, 0.5000, 0.5000], [0.7500, 0.7500, 0.7500]]}

4.
{"formula": "KRuAu2", "functional": "GGA-PBE", "state": "optimized geometry", "density_g_cm3": 11.413, "total_energy_ev_per_atom": -3.826, "de_polymorph_mev_per_atom": 88, "delta_e_f_ev_per_atom": 0.406, "cell": [[-2.1497, -2.1767, -4.3615], [4.8878, -0.6554, -2.0154], [0.1470, -2.4742, 1.1635]], "species": ["Au", "Au", "K", "Ru"], "frac_coords": [[0.0000, 0.0000, 0.0000], [0.5000, 0.5000, 0.0000], [0.5000, 0.0000, 0.5000], [0.0000, 0.5000, 0.5000]]}

5.
{"formula": "FeCo2Ni2", "functional": "GGA-PBE", "state": "optimized geometry", "density_g_cm3": 7.870, "total_energy_ev_per_atom": -6.538, "de_polymorph_mev_per_atom": 274, "delta_e_f_ev_per_atom": 0.309, "cell": [[3.9195, 0.1166, 1.4409], [1.5351, 5.4722, 1.0340], [-0.0502, 0.1894, 5.7734]], "species": ["Fe", "Fe", "Ni", "Ni", "Ni", "Ni", "Co", "Co", "Co", "Co"], "frac_coords": [[0.7500, 0.0916, 0.4084], [0.2500, 0.9084, 0.5916], [0.6566, 0.1485, 0.8513], [0.3434, 0.8515, 0.1487], [0.8434, 0.6487, 0.3515], [0.1566, 0.3513, 0.6485], [0.7500, 0.7481, 0.7519], [0.2500, 0.5776, 0.9224], [0.2500, 0.2519, 0.2481], [0.7500, 0.4224, 0.0776]]}

6.
{"formula": "LiRu2W", "functional": "GGA-PBE", "state": "optimized geometry", "density_g_cm3": 11.783, "total_energy_ev_per_atom": -8.329, "de_polymorph_mev_per_atom": 80, "delta_e_f_ev_per_atom": 0.025, "cell": [[-2.7041, -1.4807, -0.0480], [0.1522, -0.1784, -3.0744], [2.7836, -5.0976, 0.4336]], "species": ["W", "Ru", "Ru", "Li"], "frac_coords": [[0.5000, 0.5000, 0.2500], [0.0000, 0.0000, 0.9921], [0.0000, 0.0000, 0.5079], [0.5000, 0.5000, 0.7500]]}